Compound: Zn3RhW
Source: the Alexandria database
Functional: SCAN
Structure: single point on PBEsol structure

## Properties
The total energy is -27.59 eV per atom. Its space group is No. 221. The value obtained for the density is 8.6 g cm⁻³.

```
data_Zn3RhW
_cell_length_a 4.5331
_cell_length_b 4.5331
_cell_length_c 4.5331
_cell_angle_alpha 90.00
_cell_angle_beta 90.00
_cell_angle_gamma 90.00
_symmetry_space_group_name_H-M 'P 1'
_symmetry_Int_Tables_number 1
_symmetry_space_group_name_Hall 'P 1'
loop_
_atom_site_label
_atom_site_fract_x
_atom_site_fract_y
_atom_site_fract_z
Zn1 0.0000 0.5000 0.0000
Zn2 0.0000 0.0000 0.5000
Zn3 0.5000 0.0000 0.0000
Rh1 0.0000 0.0000 0.0000
W1 0.5000 0.5000 0.5000
```